The following is a PBE with a Hubbard U calculation of crystalline MnHgN2F at its relaxed geometry, from Alexandria.

Energy above the lowest structure with this stoichiometry: 1.90 eV per formula unit
V: 81 Å³/cell
M_tot: 3.20 μB/f.u.
E: -4.09 eV/atom

Structure (CIF):
```
data_MnHgN2F
_cell_length_a 4.180
_cell_length_b 4.180
_cell_length_c 4.630
_cell_angle_alpha 90.00
_cell_angle_beta 90.00
_cell_angle_gamma 90.00
_space_group_name_H-M_alt 'P 1'
_space_group_IT_number 1
_space_group_name_Hall 'P 1'
loop_
_atom_site_label
_atom_site_type_symbol
_atom_site_fract_x
_atom_site_fract_y
_atom_site_fract_z
N1 N 0.000 0.500 0.000
N2 N 0.500 0.000 0.000
Mn1 Mn 0.500 0.500 0.500
Hg1 Hg 0.000 0.000 0.000
F1 F 0.000 0.000 0.500
```